Entry 1:
DFT (GGA-PBE) results for an optimized crystal structure of Sm4TlTe2S.

Results
The uncorrected formation energy comes out at -122.0 kJ/mol of atoms. Its space group is No. 10.

Lattice parameters (Å, degrees): 4.2832 7.5350 7.6639 108.70 90.00 90.00
Element x y z (fractional)
Sm1 0.0000 0.7553 0.2378
S1 0.0000 0.0000 0.0000
Te1 0.0000 0.5000 0.5000
Te2 0.5000 0.0000 0.5000
Tl1 0.5000 0.5000 0.0000
Sm2 0.5000 0.2294 0.2215
Sm3 0.0000 0.2447 0.7622
Sm4 0.5000 0.7706 0.7785

---

Entry 2:
DFT (GGA-PBE) results for an optimized crystal structure of Sm2TmTe2S2.

Results
The uncorrected formation energy comes out at -141.8 kJ/mol of atoms. Its space group is No. 139.

Lattice parameters (Å, degrees): 4.9958 4.9958 8.7113 106.66 106.66 90.00
Element x y z (fractional)
Tm1 0.0000 0.0000 0.0000
Te1 0.1863 0.1863 0.3725
S1 0.0000 0.5000 0.0000
Sm1 0.3853 0.3853 0.7706
Sm2 0.6147 0.6147 0.2294
Te2 0.8137 0.8137 0.6275
S2 0.5000 0.0000 0.0000

---

Entry 3:
DFT (GGA-PBE) results for an optimized crystal structure of Sm2U2Te2S5.

Results
The uncorrected formation energy comes out at -129.3 kJ/mol of atoms. Its space group is No. 139.

Lattice parameters (Å, degrees): 5.1910 5.1910 13.3890 101.18 101.18 90.00
Last column: magnetic moment on the atom in μB.
Element x y z (fractional)
S1 0.3884 0.8884 0.7767  -0.05
S2 0.1116 0.6116 0.2233  -0.05
U1 0.0997 0.0997 0.1993  1.84
S3 0.8884 0.3884 0.7767  -0.05
Te1 0.2162 0.2162 0.4324  -0.06
S4 0.6116 0.1116 0.2233  -0.05
S5 0.0000 0.0000 0.0000  -0.08
U2 0.9003 0.9003 0.8007  1.84
Sm1 0.3369 0.3369 0.6738  0.06
Te2 0.7838 0.7838 0.5676  -0.06
Sm2 0.6631 0.6631 0.3262  0.06

---

Entry 4:
DFT (GGA-PBE) results for an optimized crystal structure of SmYTeS.

Results
The uncorrected formation energy comes out at -166.4 kJ/mol of atoms. Its space group is No. 160.

Lattice parameters (Å, degrees): 4.0749 4.0756 7.5748 90.00 105.60 120.01
Element x y z (fractional)
S1 0.1283 0.9621 0.1056
Te1 0.4751 0.1355 0.6258
Sm1 0.9430 0.3695 0.3277
Y1 0.3315 0.5637 0.9106

---

Entry 5:
DFT (GGA-PBE) results for an optimized crystal structure of Sm2YTe2S2.

Results
The uncorrected formation energy comes out at -138.5 kJ/mol of atoms. Its space group is No. 139.

Lattice parameters (Å, degrees): 5.0567 5.0567 8.7257 106.84 106.84 90.00
Element x y z (fractional)
Te1 0.8122 0.8122 0.6243
Sm1 0.6142 0.6142 0.2284
Y1 0.0000 0.0000 0.0000
Sm2 0.3858 0.3858 0.7716
Te2 0.1878 0.1878 0.3757
S1 0.0000 0.5000 0.0000
S2 0.5000 0.0000 0.0000

---

Entry 6:
DFT (GGA-PBE) results for an optimized crystal structure of SmYTe2S.

Results
The uncorrected formation energy comes out at -144.3 kJ/mol of atoms. Its space group is No. 129.

Lattice parameters (Å, degrees): 4.4380 4.4380 15.6928 90.00 90.00 90.00
Element x y z (fractional)
Te1 0.5000 0.0000 0.9076
Y1 0.5000 0.0000 0.1125
Te2 0.5000 0.0000 0.2978
Sm1 0.5000 0.0000 0.6032
S1 0.0000 0.0000 0.5000
S2 0.5000 0.5000 0.5000
Te3 0.0000 0.5000 0.7022
Te4 0.0000 0.5000 0.0924
Y2 0.0000 0.5000 0.8875
Sm2 0.0000 0.5000 0.3968

---

Entry 7:
DFT (GGA-PBE) results for an optimized crystal structure of SmTh3S.

Results
The uncorrected formation energy comes out at -56.3 kJ/mol of atoms. Its space group is No. 221.

Lattice parameters (Å, degrees): 5.4422 5.4422 5.4422 90.00 90.00 90.00
Element x y z (fractional)
S1 0.0000 0.0000 0.0000
Th1 0.0000 0.5000 0.0000
Th2 0.5000 0.0000 0.0000
Sm1 0.5000 0.5000 0.5000
Th3 0.0000 0.0000 0.5000

---

Entry 8:
DFT (GGA-PBE) results for an optimized crystal structure of Sm4ThS5.

Results
The uncorrected formation energy comes out at -190.7 kJ/mol of atoms. Its space group is No. 71.

Lattice parameters (Å, degrees): 4.0081 5.6841 10.6426 105.49 100.85 90.00
Element x y z (fractional)
Sm1 0.1987 0.1987 0.3975
Sm2 0.5991 0.5991 0.1982
S1 0.0000 0.5000 0.0000
Sm3 0.4009 0.4009 0.8018
S2 0.7994 0.2994 0.5989
Th1 0.0000 0.0000 0.0000
Sm4 0.8013 0.8013 0.6025
S3 0.3987 0.8987 0.7974
S4 0.2006 0.7006 0.4011
S5 0.6013 0.1013 0.2026

---

Entry 9:
DFT (GGA-PBE) results for an optimized crystal structure of SmThS2.

Results
The uncorrected formation energy comes out at -175.5 kJ/mol of atoms. Its space group is No. 160. Its energy above the most stable polymorph in this dataset is 104 meV/atom.

Lattice parameters (Å, degrees): 3.8776 3.8776 7.5442 75.11 75.11 60.00
Element x y z (fractional)
S1 0.2492 0.2492 0.2525
Sm1 0.4950 0.4950 0.5149
S2 0.0854 0.0854 0.7437
Th1 0.6704 0.6704 0.9889

---

Entry 10:
DFT (GGA-PBE) results for an optimized crystal structure of Sm2ThS5.

Results
The uncorrected formation energy comes out at -196.7 kJ/mol of atoms. Its space group is No. 62.

Lattice parameters (Å, degrees): 7.5396 8.1719 12.0291 90.00 90.00 90.00
Element x y z (fractional)
Th1 0.9218 0.7500 0.9909
S1 0.2950 0.2500 0.2822
S2 0.8404 0.4560 0.8966
S3 0.6596 0.4560 0.3966
S4 0.3404 0.5440 0.6034
Sm1 0.4869 0.4984 0.8206
S5 0.2050 0.2500 0.7822
S6 0.3404 0.9560 0.6034
S7 0.6754 0.2500 0.6857
S8 0.7050 0.7500 0.7178
S9 0.7950 0.7500 0.2178
S10 0.5390 0.7500 0.9993
S11 0.0390 0.2500 0.5007
S12 0.3246 0.7500 0.3143
Sm2 0.0131 0.0016 0.3206
Th2 0.0782 0.2500 0.0091
S13 0.4610 0.2500 0.0007
Th3 0.5782 0.7500 0.4909
Sm3 0.9869 0.5016 0.6794
S14 0.6596 0.0440 0.3966
Sm4 0.5131 0.9984 0.1794
S15 0.1754 0.7500 0.8143
S16 0.9610 0.7500 0.4993
S17 0.1596 0.9560 0.1034
Sm5 0.5131 0.5016 0.1794
Sm6 0.4869 0.0016 0.8206
Th4 0.4218 0.2500 0.5091
S18 0.8404 0.0440 0.8966
S19 0.8246 0.2500 0.1857
S20 0.1596 0.5440 0.1034
Sm7 0.9869 0.9984 0.6794
Sm8 0.0131 0.4984 0.3206

---

Entry 11:
DFT (GGA-PBE) results for an optimized crystal structure of Sm2ThS3.

Results
The uncorrected formation energy comes out at -188.3 kJ/mol of atoms. Its space group is No. 14.

Lattice parameters (Å, degrees): 5.6967 8.1025 11.9471 90.00 90.00 89.99
Element x y z (fractional)
S1 0.7497 0.3748 0.0828
Th1 0.2496 0.8771 0.0836
Th2 0.2496 0.3771 0.4164
Sm1 0.2497 0.8728 0.4168
Sm2 0.7494 0.6243 0.2483
S2 0.2493 0.6253 0.2485
S3 0.7495 0.3739 0.4151
Sm3 0.7494 0.1243 0.2517
S4 0.2503 0.6252 0.9172
Th3 0.7504 0.1229 0.9164
Sm4 0.2506 0.3757 0.7517
S5 0.7507 0.8747 0.7485
S6 0.7497 0.8748 0.4172
S7 0.2505 0.1261 0.9151
S8 0.7495 0.8739 0.0849
S9 0.2503 0.1252 0.5828
S10 0.2493 0.1253 0.2515
S11 0.7507 0.3747 0.7515
Th4 0.7504 0.6229 0.5836
S12 0.2505 0.6261 0.5849
Sm5 0.7503 0.6272 0.9168
Sm6 0.2506 0.8757 0.7483
Sm7 0.7503 0.1272 0.5832
Sm8 0.2497 0.3728 0.0832

---

Entry 12:
DFT (GGA-PBE) results for an optimized crystal structure of SmTh2S4.

Results
The uncorrected formation energy comes out at -179.6 kJ/mol of atoms. Its space group is No. 63.

Lattice parameters (Å, degrees): 3.8888 6.9502 13.4804 90.00 90.00 106.25
Element x y z (fractional)
S1 0.5000 0.0000 0.5000
Th1 0.8617 0.7233 0.5676
Th2 0.8617 0.7233 0.9324
S2 0.7808 0.5616 0.3704
Sm1 0.3772 0.7544 0.2500
S3 0.5000 0.0000 0.0000
Th3 0.1383 0.2767 0.4324
Th4 0.1383 0.2767 0.0676
S4 0.0324 0.0647 0.2500
Sm2 0.6228 0.2456 0.7500
S5 0.7808 0.5616 0.1296
S6 0.9676 0.9353 0.7500
S7 0.2192 0.4384 0.6296
S8 0.2192 0.4384 0.8704